(1)
PmTcB3: optimized geometry, PBE.

abc: 7.758 6.035 6.035
angles: 62.85 90.00 90.00
Positions (direct):
Pm (0.250, 0.000, 0.000)
Pm (0.750, 0.000, 0.000)
Pm (0.250, 0.500, 0.500)
Pm (0.750, 0.500, 0.500)
Tc (0.750, 0.500, 0.000)
Tc (0.750, 0.000, 0.500)
Tc (0.250, 0.500, 0.000)
Tc (0.250, 0.000, 0.500)
B (0.500, 0.405, 0.905)
B (0.000, 0.095, 0.595)
B (0.500, 0.595, 0.095)
B (0.000, 0.905, 0.405)
B (0.000, 0.595, 0.095)
B (0.500, 0.905, 0.405)
B (0.000, 0.405, 0.905)
B (0.500, 0.095, 0.595)
B (0.500, 0.250, 0.250)
B (0.000, 0.750, 0.750)
B (0.500, 0.750, 0.750)
B (0.000, 0.250, 0.250)

Energy relative to the elements (eV per formula unit): -0.2

=====

(2)
LiPmEuRu: optimized geometry, PBE.

abc: 5.050 5.050 5.050
angles: 60.00 60.00 60.00
Last column: magnetic moment on the atom in μB.
Positions (direct):
Eu (0.500, 0.500, 0.500)  6.77
Ru (0.750, 0.750, 0.750)  -0.21
Li (0.250, 0.250, 0.250)  0.02
Pm (0.000, 0.000, 0.000)  0.03

Energy relative to the elements (eV per formula unit): -0.1

=====

(3)
MgV2N: optimized geometry, PBE.

abc: 6.850 6.850 5.324
angles: 49.96 49.96 90.00
Last column: magnetic moment on the atom in μB.
Positions (direct):
Mg (0.000, 0.000, 0.000)  0.00
Mg (0.750, 0.250, 0.500)  0.00
V (0.509, 0.125, 0.250)  0.33
V (0.241, 0.625, 0.250)  0.33
V (0.375, 0.491, 0.750)  0.33
V (0.875, 0.759, 0.750)  0.33
N (0.500, 0.500, 0.000)  -0.02
N (0.250, 0.750, 0.500)  -0.02

Formation energy without anion corrections (meV per atom): -13.0

=====

(4)
SrInFe2: optimized geometry, PBE.

abc: 9.590 9.590 9.590
angles: 19.29 19.29 19.29
Last column: magnetic moment on the atom in μB.
Positions (direct):
Fe (0.992, 0.992, 0.992)  2.81
Fe (0.508, 0.508, 0.508)  2.81
In (0.250, 0.250, 0.250)  -0.05
Sr (0.750, 0.750, 0.750)  -0.13

Energy relative to the elements (eV per formula unit): 3.4